The following is a DFT calculation (PBE) of a geometry-optimized TbTm4Zn5 structure.

abc: 3.5308 3.5308 17.6949
angles: 90.00 90.00 90.00
Element x y z (fractional)
Tb1 0.0000 0.0000 0.0000
Tm1 0.0000 0.0000 0.2021
Tm2 0.0000 0.0000 0.4009
Tm3 0.0000 0.0000 0.5991
Tm4 0.0000 0.0000 0.7979
Zn1 0.5000 0.5000 0.1044
Zn2 0.5000 0.5000 0.3015
Zn3 0.5000 0.5000 0.5000
Zn4 0.5000 0.5000 0.6985
Zn5 0.5000 0.5000 0.8956

crystal system: tetragonal
energy of formation from the pure elements: -347 meV per atom
raw total energy: -3.2358 eV/atom
M_tot: 0.00 μB/f.u.


The following is a DFT calculation (PBE) of a geometry-optimized TbTm4Zn2 structure.

abc: 10.2069 10.2069 10.2069
angles: 27.61 27.61 27.61
Element x y z (fractional)
Tb1 0.0000 0.0000 0.0000
Tm1 0.2013 0.2013 0.2013
Tm2 0.3995 0.3995 0.3995
Tm3 0.6005 0.6005 0.6005
Tm4 0.7987 0.7987 0.7987
Zn1 0.1004 0.1004 0.1004
Zn2 0.8996 0.8996 0.8996

crystal system: trigonal
energy of formation from the pure elements: 132 meV per atom
raw total energy: -3.4483 eV/atom
M_tot: 0.00 μB/f.u.


The following is a DFT calculation (PBE) of a geometry-optimized Tb4TmZn4 structure.

abc: 8.7035 8.7035 6.1679
angles: 90.00 90.00 90.00
Element x y z (fractional)
Tb1 0.0310 0.6580 0.1480
Tb2 0.1580 0.9690 0.6480
Tb3 0.3420 0.5310 0.6480
Tb4 0.4690 0.8420 0.1480
Tb5 0.5310 0.1580 0.8520
Tb6 0.6580 0.4690 0.3520
Tb7 0.8420 0.0310 0.3520
Tb8 0.9690 0.3420 0.8520
Tm1 0.2500 0.2500 0.2500
Tm2 0.7500 0.7500 0.7500
Zn1 0.0256 0.6337 0.6151
Zn2 0.1337 0.9744 0.1151
Zn3 0.3663 0.5256 0.1151
Zn4 0.4744 0.8663 0.6151
Zn5 0.5256 0.1337 0.3849
Zn6 0.6337 0.4744 0.8849
Zn7 0.8663 0.0256 0.8849
Zn8 0.9744 0.3663 0.3849

crystal system: tetragonal
energy of formation from the pure elements: -73 meV per atom
raw total energy: -3.1935 eV/atom
M_tot: 0.00 μB/f.u.


The following is a DFT calculation (PBE) of a geometry-optimized TbTm3Zn2 structure.

abc: 3.5225 3.5225 12.0615
angles: 90.00 90.00 90.00
Element x y z (fractional)
Tb1 0.0000 0.0000 0.0000
Tm1 0.5000 0.5000 0.2102
Tm2 0.5000 0.5000 0.5000
Tm3 0.5000 0.5000 0.7898
Zn1 0.0000 0.0000 0.3558
Zn2 0.0000 0.0000 0.6442

crystal system: tetragonal
energy of formation from the pure elements: -230 meV per atom
raw total energy: -3.6616 eV/atom
M_tot: 0.00 μB/f.u.


The following is a DFT calculation (PBE) of a geometry-optimized Tb4TmZn2 structure.

abc: 8.0769 8.0769 8.0769
angles: 39.09 39.09 39.09
Element x y z (fractional)
Tb1 0.0796 0.0796 0.0796
Tb2 0.2429 0.2429 0.2429
Tb3 0.7571 0.7571 0.7571
Tb4 0.9204 0.9204 0.9204
Tm1 0.5000 0.5000 0.5000
Zn1 0.3750 0.3750 0.3750
Zn2 0.6250 0.6250 0.6250

crystal system: trigonal
energy of formation from the pure elements: 48 meV per atom
raw total energy: -3.6007 eV/atom
M_tot: 0.00 μB/f.u.


The following is a DFT calculation (PBE) of a geometry-optimized Tb3TmZn4 structure.

abc: 8.7318 8.7318 8.7318
angles: 33.62 33.62 33.62
Element x y z (fractional)
Tb1 0.0000 0.0000 0.0000
Tb2 0.2491 0.2491 0.2491
Tb3 0.7509 0.7509 0.7509
Tm1 0.5000 0.5000 0.5000
Zn1 0.1255 0.1255 0.1255
Zn2 0.3755 0.3755 0.3755
Zn3 0.6245 0.6245 0.6245
Zn4 0.8745 0.8745 0.8745

crystal system: trigonal
energy of formation from the pure elements: -341 meV per atom
raw total energy: -3.2737 eV/atom
M_tot: 0.00 μB/f.u.


Which value of raw total energy does entry 6 give? -3.2737 eV/atom